# 1
Crystalline La2ScTl at its relaxed geometry, computed with GGA-PBEsol.

Structure (POSCAR):
```
La2ScTl
1.0
4.772 0.000 0.000
0.000 4.772 0.000
-2.386 -2.386 4.891
Sc La Tl
1 2 1
Direct
0.500 0.500 0.000
0.750 0.250 0.500
0.000 0.000 0.000
0.250 0.750 0.500
```

Calculated values
- polymorph energy (0 for the lowest one) (meV per atom) = 20
- SG = I-4m2 (119)
- calculated volume (Å³/cell) = 111.4
- formation enthalpy at 0 K (meV/atom) = -198

# 2
Crystalline LaSc2Tl at its relaxed geometry, computed with GGA-PBEsol.

Structure (POSCAR):
```
LaSc2Tl
1.0
5.121 0.000 0.000
2.560 4.435 0.000
2.560 1.478 4.181
Tl Sc La
1 2 1
Direct
0.500 0.500 0.500
0.750 0.750 0.750
0.250 0.250 0.250
0.000 0.000 0.000
```

Calculated values
- polymorph energy (0 for the lowest one) (meV per atom) = 96
- SG = Fm-3m (225)
- calculated volume (Å³/cell) = 94.9
- formation enthalpy at 0 K (meV/atom) = -86

# 3
Crystalline La2ScTl at its relaxed geometry, computed with GGA-PBEsol.

Structure (POSCAR):
```
La2ScTl
1.0
-1.998 2.391 4.510
-0.953 -2.990 4.494
3.183 0.605 4.421
Sc Tl La
1 1 2
Direct
0.000 0.000 0.000
0.500 0.500 0.500
0.250 0.250 0.250
0.750 0.750 0.750
```

Calculated values
- polymorph energy (0 for the lowest one) (meV per atom) = 101
- SG = Fm-3m (225)
- calculated volume (Å³/cell) = 116.4
- formation enthalpy at 0 K (meV/atom) = -117

# 4
Crystalline La2ScTl at its relaxed geometry, computed with GGA-PBEsol.

Structure (POSCAR):
```
La2ScTl
1.0
3.503 0.000 0.000
0.000 5.879 -0.061
0.000 -2.040 5.514
Sc Tl La
1 1 2
Direct
0.500 0.000 0.000
0.500 0.500 0.500
0.000 0.500 0.000
0.000 0.000 0.500
```

Calculated values
- polymorph energy (0 for the lowest one) (meV per atom) = 41
- SG = Cmmm (65)
- calculated volume (Å³/cell) = 113.1
- formation enthalpy at 0 K (meV/atom) = -178